The following is a DFT calculation (PBE) of a geometry-optimized Os2S2F structure.

Summary:
Electronic total energy (eV for the cell shown): -66.15
DOS(E_F) (states/eV per cell): 9.2
Total magnetic moment (μB per formula unit): 0.00
Crystal system: tetragonal
Calculated volume (A^3/atom): 15.2

```
data_Os2S2F
_chemical_formula_sum 'Os4 S4 F2'
_cell_length_a 4.6404
_cell_length_b 4.6404
_cell_length_c 7.0792
_cell_angle_alpha 90.00
_cell_angle_beta 90.00
_cell_angle_gamma 90.00
_space_group_name_H-M_alt 'I 4/m m m'
_space_group_IT_number 139
_space_group_name_Hall '-I 4 2'
loop_
_atom_site_label
_atom_site_type_symbol
_atom_site_fract_x
_atom_site_fract_y
_atom_site_fract_z
Os1 Os 0.0000 0.0000 0.1633
S1 S 0.0000 0.5000 0.2500
F1 F 0.0000 0.0000 0.5000
```